Entry from Alexandria via LeMat-Bulk: a relaxed Co3PbF crystal (PBE+U).

Cell lengths 4.311, 4.311, 4.311 Å; angles 90.00, 90.00, 90.00 degrees
Site moments in Bohr magnetons follow the coordinates.
Fractional coordinates of all 5 atoms:
1 Pb 0.500 0.500 0.500  -0.01
2 Co 0.500 0.000 0.000  1.91
3 Co 0.000 0.500 0.000  2.00
4 Co 0.000 0.000 0.500  2.01
5 F 0.000 0.000 0.000  0.05

**Energy relative to the lowest polymorph listed for this composition**: 0 meV/atom
**ρ**: 8.350 g cm⁻³
**Space-group type**: No. 221
**DOS(E_F)**: 1.7 states/eV/cell
**Electronic total energy**: -3.961 eV/atom
**Magnetic moment**: 6.0 Bohr magnetons per cell

Entry from Alexandria via LeMat-Bulk: a relaxed Co2PbF6 crystal (PBE+U).

Cell lengths 5.243, 5.462, 5.462 Å; angles 120.00, 90.00, 90.00 degrees
Site moments in Bohr magnetons follow the coordinates.
Fractional coordinates of all 9 atoms:
1 Co 0.500 0.333 0.667  2.78
2 F 0.289 0.000 0.638  0.05
3 F 0.711 0.362 0.000  0.05
4 F 0.711 0.638 0.638  0.05
5 Pb 0.000 0.000 0.000  0.01
6 F 0.289 0.638 0.000  0.05
7 F 0.711 0.000 0.362  0.05
8 F 0.289 0.362 0.362  0.05
9 Co 0.500 0.667 0.333  2.78

**ρ**: 5.381 g cm⁻³
**Space-group type**: No. 162
**DOS(E_F)**: 0.0 states/eV/cell
**Electronic total energy**: -5.017 eV/atom
**Magnetic moment**: 6.0 Bohr magnetons per cell

Entry from Alexandria via LeMat-Bulk: a relaxed CoPb2F crystal (PBE+U).

Cell lengths 5.391, 5.391, 7.914 Å; angles 70.09, 70.09, 90.00 degrees
Site moments in Bohr magnetons follow the coordinates.
Fractional coordinates of all 8 atoms:
1 Pb 0.375 0.383 0.750  -0.06
2 Co 0.000 0.000 0.000  1.46
3 F 0.500 0.500 0.000  -0.01
4 Pb 0.875 0.867 0.750  -0.06
5 Pb 0.133 0.625 0.250  -0.06
6 Pb 0.617 0.125 0.250  -0.06
7 F 0.250 0.750 0.500  -0.01
8 Co 0.750 0.250 0.500  1.45

**Energy relative to the lowest polymorph listed for this composition**: 0 meV/atom
**ρ**: 8.111 g cm⁻³
**Space-group type**: No. 122
**DOS(E_F)**: 4.8 states/eV/cell
**Electronic total energy**: -3.710 eV/atom
**Magnetic moment**: 2.4 Bohr magnetons per cell